Pr3RuO7, single point on PBEsol structure, DFT meta-GGA SCAN; space group = Cmcm
1.0
5.4997 -3.6729 0.0000
5.4997 3.6729 0.0000
0.0000 0.0000 7.5222
Pr Ru O
6 2 14
Direct
0.0000 0.0000 0.0000
0.0000 0.0000 0.5000
0.0964 0.4651 0.7500
0.4651 0.0964 0.2500
0.5349 0.9036 0.7500
0.9036 0.5349 0.2500
0.5000 0.5000 0.0000
0.5000 0.5000 0.5000
0.0994 0.1617 0.2500
0.1617 0.0994 0.7500
0.1913 0.5591 0.0428
0.1913 0.5591 0.4572
0.4175 0.5825 0.7500
0.4409 0.8087 0.0428
0.4409 0.8087 0.4572
0.5591 0.1913 0.5428
0.5591 0.1913 0.9572
0.5825 0.4175 0.2500
0.8087 0.4409 0.5428
0.8087 0.4409 0.9572
0.8383 0.9006 0.2500
0.9006 0.8383 0.7500

---

PrRuO3, single point on PBEsol structure, DFT meta-GGA SCAN; space group = Pnma
1.0
5.9503 0.0000 0.0000
0.0000 7.7148 0.0000
0.0000 0.0000 5.2453
Pr Ru O
4 4 12
Direct
0.0774 0.2500 0.0300
0.4226 0.7500 0.5300
0.5774 0.2500 0.4700
0.9226 0.7500 0.9700
0.0000 0.0000 0.5000
0.0000 0.5000 0.5000
0.5000 0.0000 0.0000
0.5000 0.5000 0.0000
0.0330 0.7500 0.4008
0.1975 0.5477 0.8190
0.1975 0.9523 0.8190
0.3025 0.0477 0.3190
0.3025 0.4523 0.3190
0.4670 0.2500 0.9008
0.5330 0.7500 0.0992
0.6975 0.5477 0.6810
0.6975 0.9523 0.6810
0.8025 0.0477 0.1810
0.8025 0.4523 0.1810
0.9670 0.2500 0.5992

---

Pr2S2O, single point on PBEsol structure, DFT meta-GGA SCAN; space group = P2_1/c
1.0
8.5175 0.0000 0.0000
0.0000 7.1817 0.0000
-1.0287 0.0000 6.9704
Pr S O
8 8 4
Direct
0.0829 0.1314 0.3111
0.0829 0.3686 0.8111
0.3629 0.5566 0.2487
0.3629 0.9434 0.7487
0.6371 0.0566 0.2513
0.6371 0.4434 0.7513
0.9171 0.6314 0.1889
0.9171 0.8686 0.6889
0.1745 0.6488 0.5578
0.1745 0.8512 0.0578
0.4211 0.2251 0.4727
0.4211 0.2749 0.9727
0.5789 0.7251 0.0273
0.5789 0.7749 0.5273
0.8255 0.1488 0.9422
0.8255 0.3512 0.4422
0.1175 0.0890 0.6494
0.1175 0.4110 0.1494
0.8825 0.5890 0.8506
0.8825 0.9110 0.3506

---

Pr2Ti2S2O5, single point on PBEsol structure, DFT meta-GGA SCAN; space group = I4/mmm
1.0
-1.9257 1.9257 11.5265
1.9257 -1.9257 11.5265
1.9257 1.9257 -11.5265
Pr Ti S O
2 2 2 5
Direct
0.1659 0.1659 0.0000
0.8341 0.8341 0.0000
0.4220 0.4220 0.0000
0.5780 0.5780 0.0000
0.2962 0.2962 0.0000
0.7038 0.7038 0.0000
0.0964 0.5964 0.5000
0.4036 0.9036 0.5000
0.5000 0.5000 0.0000
0.5964 0.0964 0.5000
0.9036 0.4036 0.5000

---

Pr6Ti2S7O6, single point on PBEsol structure, DFT meta-GGA SCAN; space group = P2_1/m
1.0
11.9541 0.0000 0.0000
0.0000 3.8904 0.0000
-2.1823 0.0000 16.2900
Pr Ti S O
12 4 14 12
Direct
0.0237 0.2500 0.1244
0.0637 0.2500 0.3916
0.2807 0.7500 0.6240
0.3213 0.7500 0.9735
0.4058 0.2500 0.3811
0.4744 0.2500 0.7910
0.5256 0.7500 0.2090
0.5942 0.7500 0.6189
0.6787 0.2500 0.0265
0.7193 0.2500 0.3760
0.9363 0.7500 0.6084
0.9763 0.7500 0.8756
0.2033 0.2500 0.8143
0.2204 0.7500 0.2655
0.7796 0.2500 0.7345
0.7967 0.7500 0.1857
0.0015 0.7500 0.2555
0.0991 0.2500 0.5677
0.1166 0.2500 0.9643
0.2030 0.7500 0.1257
0.2340 0.7500 0.4305
0.4214 0.2500 0.5589
0.4469 0.2500 0.0802
0.5531 0.7500 0.9198
0.5786 0.7500 0.4411
0.7660 0.2500 0.5695
0.7970 0.2500 0.8743
0.8834 0.7500 0.0357
0.9009 0.7500 0.4323
0.9985 0.2500 0.7445
0.1805 0.7500 0.8313
0.2037 0.2500 0.2839
0.2732 0.2500 0.7234
0.3343 0.2500 0.8869
0.3716 0.7500 0.2896
0.4522 0.7500 0.7137
0.5478 0.2500 0.2863
0.6284 0.2500 0.7104
0.6657 0.7500 0.1131
0.7268 0.7500 0.2766
0.7963 0.7500 0.7161
0.8195 0.2500 0.1687

---

Pr2SbO2, single point on PBEsol structure, DFT meta-GGA SCAN; space group = I4/mmm
1.0
-1.9874 1.9874 6.8643
1.9874 -1.9874 6.8643
1.9874 1.9874 -6.8643
Pr Sb O
2 1 2
Direct
0.1620 0.1620 0.0000
0.8380 0.8380 0.0000
0.5000 0.5000 0.0000
0.2500 0.7500 0.5000
0.7500 0.2500 0.5000

---

SrPrScO4, single point on PBEsol structure, DFT meta-GGA SCAN; energy above the lowest structure with this stoichiometry = 0.09 eV/f.u.; space group = I4mm
1.0
-1.9932 1.9932 6.2513
1.9932 -1.9932 6.2513
1.9932 1.9932 -6.2513
Sr Pr Sc O
1 1 1 4
Direct
0.0000 0.0000 0.0000
0.2850 0.2850 0.0000
0.6406 0.6406 0.0000
0.1569 0.6569 0.5000
0.4709 0.4709 0.0000
0.6569 0.1569 0.5000
0.8152 0.8152 0.0000

---

SrPrScO4, single point on PBEsol structure, DFT meta-GGA SCAN; energy above the lowest structure with this stoichiometry = 0.00 eV/f.u.; space group = Cmc2_1
1.0
2.8096 -6.1366 0.0000
2.8096 6.1366 0.0000
0.0000 0.0000 5.8302
Sr Pr Sc O
2 2 2 8
Direct
0.1046 0.8954 0.5000
0.8954 0.1046 0.0000
0.3911 0.6089 0.5295
0.6089 0.3911 0.0295
0.2474 0.7526 0.0175
0.7526 0.2474 0.5175
0.0279 0.4823 0.2719
0.0834 0.9166 0.0780
0.4286 0.5714 0.9274
0.4823 0.0279 0.7719
0.5177 0.9721 0.2719
0.5714 0.4286 0.4274
0.9166 0.0834 0.5780
0.9721 0.5177 0.7719

---

PrSe4O11, single point on PBEsol structure, DFT meta-GGA SCAN; space group = P2_1/c
1.0
13.2952 0.0000 0.0000
0.0000 7.1549 0.0000
-0.7963 0.0000 10.6721
Pr Se O
4 16 44
Direct
0.1625 0.0626 0.4719
0.1625 0.4374 0.9719
0.8375 0.5626 0.0281
0.8375 0.9374 0.5281
0.0050 0.2182 0.1843
0.0050 0.2818 0.6843
0.2019 0.5472 0.6254
0.2019 0.9528 0.1254
0.2342 0.5007 0.3159
0.2342 0.9993 0.8159
0.3949 0.6612 0.8260
0.3949 0.8388 0.3260
0.6051 0.1612 0.6740
0.6051 0.3388 0.1740
0.7658 0.0007 0.1841
0.7658 0.4993 0.6841
0.7981 0.0472 0.8746
0.7981 0.4528 0.3746
0.9950 0.7182 0.3157
0.9950 0.7818 0.8157
0.0076 0.0755 0.6053
0.0076 0.4245 0.1053
0.0746 0.2291 0.8169
0.0746 0.2709 0.3169
0.0985 0.1267 0.0777
0.0985 0.3733 0.5777
0.1582 0.6050 0.7647
0.1582 0.8950 0.2647
0.1681 0.7243 0.5296
0.1681 0.7757 0.0296
0.2494 0.1083 0.6805
0.2494 0.3917 0.1805
0.2592 0.1562 0.9332
0.2592 0.3438 0.4332
0.3333 0.5286 0.9199
0.3333 0.9714 0.4199
0.3506 0.6253 0.6716
0.3506 0.8747 0.1716
0.3655 0.6041 0.3530
0.3655 0.8959 0.8530
0.4842 0.1459 0.6630
0.4842 0.3541 0.1630
0.5158 0.6459 0.8370
0.5158 0.8541 0.3370
0.6345 0.1041 0.1470
0.6345 0.3959 0.6470
0.6494 0.1253 0.8284
0.6494 0.3747 0.3284
0.6667 0.0286 0.5801
0.6667 0.4714 0.0801
0.7408 0.6562 0.5668
0.7408 0.8438 0.0668
0.7506 0.6083 0.8195
0.7506 0.8917 0.3195
0.8319 0.2243 0.9704
0.8319 0.2757 0.4704
0.8418 0.1050 0.7353
0.8418 0.3950 0.2353
0.9015 0.6267 0.4223
0.9015 0.8733 0.9223
0.9254 0.7291 0.6831
0.9254 0.7709 0.1831
0.9924 0.5755 0.8947
0.9924 0.9245 0.3947

---

Pr4Se3O4, single point on PBEsol structure, DFT meta-GGA SCAN; space group = Amm2
1.0
8.4181 0.0000 0.0000
0.0000 2.0116 6.4718
0.0000 -2.0116 6.4718
Pr Se O
4 3 4
Direct
0.0000 0.0000 0.0000
0.2371 0.6847 0.6847
0.5000 0.0164 0.0164
0.7629 0.6847 0.6847
0.0000 0.3116 0.3116
0.3508 0.3571 0.3571
0.6492 0.3571 0.3571
0.0000 0.5879 0.5879
0.2438 0.0888 0.0888
0.5000 0.6153 0.6153
0.7562 0.0888 0.0888

---

Pr4Si2Se3O7, single point on PBEsol structure, DFT meta-GGA SCAN; space group = I4_1/amd
1.0
-6.0578 6.0578 7.2279
6.0578 -6.0578 7.2279
6.0578 6.0578 -7.2279
Pr Si Se O
16 8 12 28
Direct
0.0476 0.2976 0.0951
0.0476 0.9524 0.7500
0.1754 0.6655 0.5099
0.2976 0.0476 0.5951
0.2976 0.7024 0.2500
0.3345 0.3444 0.5099
0.3345 0.8246 0.9901
0.3444 0.3345 0.0099
0.6556 0.6655 0.9901
0.6655 0.1754 0.0099
0.6655 0.6556 0.4901
0.7024 0.2976 0.7500
0.7024 0.9524 0.4049
0.8246 0.3345 0.4901
0.9524 0.0476 0.2500
0.9524 0.7024 0.9049
0.0936 0.2194 0.6258
0.0936 0.4678 0.8742
0.2194 0.0936 0.1258
0.4678 0.0936 0.3742
0.5322 0.9064 0.6258
0.7806 0.9064 0.8742
0.9064 0.5322 0.1258
0.9064 0.7806 0.3742
0.0000 0.3541 0.3541
0.0000 0.6459 0.6459
0.1250 0.8750 0.2500
0.3541 0.0000 0.8541
0.3541 0.5000 0.3541
0.3750 0.6250 0.7500
0.5000 0.3541 0.8541
0.5000 0.6459 0.1459
0.6250 0.3750 0.2500
0.6459 0.0000 0.1459
0.6459 0.5000 0.6459
0.8750 0.1250 0.7500
0.0777 0.5676 0.2277
0.0777 0.8500 0.5101
0.1406 0.3906 0.7500
0.1500 0.1601 0.2277
0.1500 0.9223 0.9899
0.1601 0.1500 0.7277
0.1601 0.4324 0.0101
0.1697 0.1932 0.5235
0.1697 0.6462 0.9765
0.1932 0.1697 0.0235
0.3538 0.8303 0.5235
0.3906 0.1406 0.2500
0.4324 0.1601 0.5101
0.4324 0.9223 0.2723
0.5676 0.0777 0.7277
0.5676 0.8399 0.4899
0.6094 0.8594 0.7500
0.6462 0.1697 0.4765
0.8068 0.8303 0.9765
0.8303 0.3538 0.0235
0.8303 0.8068 0.4765
0.8399 0.5676 0.9899
0.8399 0.8500 0.2723
0.8500 0.0777 0.0101
0.8500 0.8399 0.7723
0.8594 0.6094 0.2500
0.9223 0.1500 0.4899
0.9223 0.4324 0.7723

---

Pr2SiTeO4, single point on PBEsol structure, DFT meta-GGA SCAN; energy above the lowest structure with this stoichiometry = 0.06 eV/f.u.; space group = P2_1/c
1.0
9.8291 0.0000 0.0000
0.0000 6.4513 0.0000
-0.7013 0.0000 8.7079
Pr Si Te O
8 4 4 16
Direct
0.1041 0.1505 0.1932
0.1041 0.3495 0.6932
0.3482 0.6948 0.3354
0.3482 0.8052 0.8354
0.6518 0.1948 0.1646
0.6518 0.3052 0.6646
0.8959 0.6505 0.3068
0.8959 0.8495 0.8068
0.1258 0.6904 0.0576
0.1258 0.8096 0.5576
0.8742 0.1904 0.4424
0.8742 0.3096 0.9424
0.4044 0.2111 0.3860
0.4044 0.2889 0.8860
0.5956 0.7111 0.1140
0.5956 0.7889 0.6140
0.0191 0.1905 0.9209
0.0191 0.3095 0.4209
0.1253 0.6337 0.8757
0.1253 0.8663 0.3757
0.1537 0.5110 0.1864
0.1537 0.9890 0.6864
0.2511 0.6409 0.5911
0.2511 0.8591 0.0911
0.7489 0.1409 0.9089
0.7489 0.3591 0.4089
0.8463 0.0110 0.3136
0.8463 0.4890 0.8136
0.8747 0.1337 0.6243
0.8747 0.3663 0.1243
0.9809 0.6905 0.5791
0.9809 0.8095 0.0791

---

Pr2SiTeO4, single point on PBEsol structure, DFT meta-GGA SCAN; energy above the lowest structure with this stoichiometry = 0.00 eV/f.u.; space group = Pbcm
1.0
6.3358 0.0000 0.0000
0.0000 7.2130 0.0000
0.0000 0.0000 11.1894
Pr Si Te O
8 4 4 16
Direct
0.1112 0.2500 0.0000
0.1112 0.2500 0.5000
0.3860 0.5391 0.2500
0.3860 0.9609 0.7500
0.6140 0.0391 0.2500
0.6140 0.4609 0.7500
0.8888 0.7500 0.0000
0.8888 0.7500 0.5000
0.3867 0.7500 0.0000
0.3867 0.7500 0.5000
0.6133 0.2500 0.0000
0.6133 0.2500 0.5000
0.1000 0.5734 0.7500
0.1000 0.9266 0.2500
0.9000 0.0734 0.7500
0.9000 0.4266 0.2500
0.2312 0.5768 0.0366
0.2312 0.5768 0.4634
0.2312 0.9232 0.5366
0.2312 0.9232 0.9634
0.4510 0.2303 0.6155
0.4510 0.2303 0.8845
0.4510 0.2697 0.1155
0.4510 0.2697 0.3845
0.5490 0.7303 0.6155
0.5490 0.7303 0.8845
0.5490 0.7697 0.1155
0.5490 0.7697 0.3845
0.7688 0.0768 0.0366
0.7688 0.0768 0.4634
0.7688 0.4232 0.5366
0.7688 0.4232 0.9634

---

no.,formation energy from raw total energies (meV/atom)
1,-2936
2,-2381
3,-2878
4,-3157
5,-2907
6,-2835
7,-3531
8,-3544
9,-1181
10,-3032
11,-3099
12,-3167
13,-3175